Record 1
Computed, not measured: a relaxed structure of CuNi2H at the PBE level of DFT.

abc: 5.4031 5.4031 5.4031
angles: 90.00 90.00 90.00
Space group Fm-3m (No. 225)
Inequivalent atoms, fractional coordinates:
Cu (0.0000, 0.0000, 0.0000)
Ni (0.2500, 0.2500, 0.2500)
H (0.0000, 0.0000, 0.5000)

Output
Relative energy among the computed polymorphs ... 0.537 eV/atom
Final energy ... -4.23 eV per atom

Record 2
Computed, not measured: a relaxed structure of Cu2NiH2 at the PBE level of DFT.

abc: 3.1722 3.1722 8.1576
angles: 90.00 90.00 90.00
Space group I4/mmm (No. 139)
Inequivalent atoms, fractional coordinates:
Cu (0.0000, 0.0000, 0.1551)
Ni (0.0000, 0.0000, 0.5000)
H (0.0000, 0.5000, 0.2500)

Output
Relative energy among the computed polymorphs ... 0.269 eV/atom
Final energy ... -3.85 eV per atom

Record 3
Computed, not measured: a relaxed structure of Cu2NiH2 at the PBE level of DFT.

abc: 6.5228 5.0556 5.0300
angles: 90.00 101.29 90.00
Space group P2_1/c (No. 14)
Inequivalent atoms, fractional coordinates:
Cu (0.0230, 0.2424, 0.4727)
Cu (0.3135, 0.5960, 0.8527)
Ni (0.3456, 0.1052, 0.8322)
H (0.1565, 0.6151, 0.3292)
H (0.4617, 0.1411, 0.1675)

Output
Relative energy among the computed polymorphs ... 0.063 eV/atom
Final energy ... -4.06 eV per atom

Record 4
Computed, not measured: a relaxed structure of CuNi5H5 at the PBE level of DFT.

abc: 4.3173 4.3353 5.5917
angles: 104.95 103.05 108.42
Space group P-1 (No. 2)
Inequivalent atoms, fractional coordinates:
Cu (0.0000, 0.0000, 0.0000)
Ni (0.1191, 0.6209, 0.2526)
Ni (0.2485, 0.2368, 0.5003)
Ni (0.5000, 0.5000, 0.0000)
H (0.0000, 0.5000, 0.5000)
H (0.2379, 0.7154, 0.0007)
H (0.4016, 0.4064, 0.2709)

Output
Final energy ... -4.42 eV per atom

Record 5
Computed, not measured: a relaxed structure of Cu3Ni2H4 at the PBE level of DFT.

abc: 7.8944 8.4848 4.3514
angles: 90.00 101.58 90.00
Space group C2/c (No. 15)
Inequivalent atoms, fractional coordinates:
Cu (0.0000, 0.1000, 0.2500)
Cu (0.0804, 0.3662, 0.5334)
Ni (0.2346, 0.1085, 0.8991)
H (0.1135, 0.2493, 0.0294)
H (0.2087, 0.0752, 0.5188)

Output
Final energy ... -4.06 eV per atom

Record 6
Computed, not measured: a relaxed structure of CuNi4H7 at the PBE level of DFT.

abc: 8.8599 2.5631 7.6277
angles: 90.00 93.38 90.00
Space group Cm (No. 8)
Inequivalent atoms, fractional coordinates:
Cu (0.0000, 0.0000, 0.0000)
Ni (0.0668, 0.5000, 0.2982)
Ni (0.1496, 0.0000, 0.5771)
Ni (0.2206, 0.5000, 0.8598)
Ni (0.2939, 0.0000, 0.1577)
H (0.0346, 0.5000, 0.5132)
H (0.1008, 0.0000, 0.7943)
H (0.1729, 0.5000, 0.0970)
H (0.1927, 0.0000, 0.3535)
H (0.2623, 0.5000, 0.6450)
H (0.3431, 0.0000, 0.9250)
H (0.4240, 0.5000, 0.2500)

Output
Final energy ... -4.22 eV per atom

Record 7
Computed, not measured: a relaxed structure of CuNi2H3 at the PBE level of DFT.

abc: 3.7902 3.7560 5.9197
angles: 90.00 108.52 90.00
Space group C2/m (No. 12)
Inequivalent atoms, fractional coordinates:
Cu (0.0000, 0.0000, 0.0000)
Ni (0.1642, 0.5000, 0.3306)
H (0.0000, 0.5000, 0.0000)
H (0.1761, 0.0000, 0.3503)

Output
Relative energy among the computed polymorphs ... 0.000 eV/atom
Final energy ... -4.27 eV per atom

Record 8
Computed, not measured: a relaxed structure of CuNi2H3 at the PBE level of DFT.

abc: 5.0263 5.0263 13.4163
angles: 90.00 90.00 120.00
Space group R-3m (No. 166, hexagonal axes)
Inequivalent atoms, fractional coordinates:
Cu (0.0000, 0.0000, 0.1802)
Ni (0.0000, 0.0000, 0.0000)
Ni (0.0000, 0.5000, 0.0000)
H (0.0087, 0.5043, 0.2668)

Output
Relative energy among the computed polymorphs ... 0.078 eV/atom
Final energy ... -4.19 eV per atom

Record 9
Computed, not measured: a relaxed structure of CuNi2H at the PBE level of DFT.

abc: 5.4771 5.4771 5.0063
angles: 90.00 90.00 90.00
Space group I-42d (No. 122)
Inequivalent atoms, fractional coordinates:
Cu (0.0000, 0.0000, 0.0000)
Ni (0.1428, 0.7500, 0.6250)
H (0.0000, 0.0000, 0.5000)

Output
Relative energy among the computed polymorphs ... 0.161 eV/atom
Final energy ... -4.61 eV per atom

Record 10
Computed, not measured: a relaxed structure of CuNi4H8 at the PBE level of DFT.

abc: 8.9239 5.1135 5.4016
angles: 90.00 122.83 90.00
Space group C2/m (No. 12)
Inequivalent atoms, fractional coordinates:
Cu (0.0000, 0.0000, 0.0000)
Ni (0.0000, 0.2546, 0.5000)
Ni (0.2444, 0.5000, 0.4895)
H (0.0196, 0.5000, 0.3097)
H (0.0206, 0.0000, 0.3245)
H (0.2276, 0.2570, 0.6865)

Output
Final energy ... -4.11 eV per atom

Record 11
Computed, not measured: a relaxed structure of CuNi3H3 at the PBE level of DFT.

abc: 4.7697 4.7697 4.7697
angles: 90.00 90.00 90.00
Space group Pm-3n (No. 223)
Inequivalent atoms, fractional coordinates:
Cu (0.0000, 0.0000, 0.0000)
Ni (0.0000, 0.2500, 0.5000)
H (0.0000, 0.5000, 0.2500)

Output
Relative energy among the computed polymorphs ... 0.025 eV/atom
Final energy ... -4.47 eV per atom

Record 12
Computed, not measured: a relaxed structure of CuNi4H6 at the PBE level of DFT.

abc: 2.6293 8.6838 12.4761
angles: 90.00 90.00 90.00
Space group Cmcm (No. 63)
Inequivalent atoms, fractional coordinates:
Cu (0.0000, 0.1764, 0.2500)
Ni (0.0000, 0.0908, 0.6346)
Ni (0.0000, 0.3618, 0.5501)
H (0.0000, 0.0000, 0.0000)
H (0.0000, 0.1798, 0.7500)
H (0.0000, 0.2760, 0.0803)
H (0.0000, 0.4717, 0.6616)

Output
Final energy ... -4.30 eV per atom

Record 13
Computed, not measured: a relaxed structure of CuNi3H6 at the PBE level of DFT.

abc: 6.5972 2.5783 8.9352
angles: 90.00 110.40 90.00
Space group P2_1/m (No. 11)
Inequivalent atoms, fractional coordinates:
Cu (0.2135, 0.2500, 0.0818)
Ni (0.0002, 0.2500, 0.7585)
Ni (0.3363, 0.2500, 0.4113)
Ni (0.3640, 0.7500, 0.8780)
H (0.0679, 0.2500, 0.3755)
H (0.0955, 0.7500, 0.8915)
H (0.2532, 0.2500, 0.7513)
H (0.2701, 0.7500, 0.2738)
H (0.3938, 0.7500, 0.5426)
H (0.4544, 0.7500, 0.0923)

Output
Final energy ... -4.13 eV per atom

Record 14
Computed, not measured: a relaxed structure of Cu2NiH2 at the PBE level of DFT.

abc: 4.5734 2.6359 6.7316
angles: 90.00 104.05 90.00
Space group C2/m (No. 12)
Inequivalent atoms, fractional coordinates:
Cu (0.2191, 0.0000, 0.1558)
Ni (0.0000, 0.0000, 0.5000)
H (0.1172, 0.5000, 0.3614)

Output
Relative energy among the computed polymorphs ... 0.000 eV/atom
Final energy ... -4.12 eV per atom

Record 15
Computed, not measured: a relaxed structure of Cu2Ni2H3 at the PBE level of DFT.

abc: 4.9736 4.6673 5.1633
angles: 90.00 118.04 90.00
Space group P2_1/c (No. 14)
Inequivalent atoms, fractional coordinates:
Cu (0.1454, 0.1540, 0.3860)
Ni (0.3619, 0.6529, 0.6132)
H (0.0000, 0.0000, 0.0000)
H (0.3160, 0.5534, 0.2711)

Output
Final energy ... -4.25 eV per atom

Record 16
Computed, not measured: a relaxed structure of CuNi8H6 at the PBE level of DFT.

abc: 4.5170 4.5170 12.9641
angles: 90.00 90.00 120.00
Space group P6_3cm (No. 185)
Inequivalent atoms, fractional coordinates:
Cu (0.0000, 0.0000, 0.0000)
Ni (0.0000, 0.3341, 0.1799)
Ni (0.0000, 0.3346, 0.8411)
Ni (0.3333, 0.6667, 0.4979)
H (0.0000, 0.0000, 0.2579)
H (0.0000, 0.3581, 0.0558)
H (0.3333, 0.6667, 0.2589)

Output
Final energy ... -4.70 eV per atom

Record 17
Computed, not measured: a relaxed structure of CuNi2H at the PBE level of DFT.

abc: 2.4491 2.4491 6.0758
angles: 90.00 90.00 90.00
Space group P4/mmm (No. 123)
Inequivalent atoms, fractional coordinates:
Cu (0.0000, 0.0000, 0.0000)
Ni (0.5000, 0.5000, 0.3075)
H (0.0000, 0.0000, 0.5000)

Output
Relative energy among the computed polymorphs ... 0.216 eV/atom
Final energy ... -4.56 eV per atom

Record 18
Computed, not measured: a relaxed structure of CuNiH2 at the PBE level of DFT.

abc: 2.6348 2.6348 14.2018
angles: 90.00 90.00 120.00
Space group R3m (No. 160, hexagonal axes)
Inequivalent atoms, fractional coordinates:
Cu (0.0000, 0.0000, 0.0000)
Ni (0.0000, 0.0000, 0.1765)
H (0.0000, 0.0000, 0.5724)
H (0.0000, 0.0000, 0.7810)

Output
Relative energy among the computed polymorphs ... 0.055 eV/atom
Final energy ... -4.08 eV per atom

Record 19
Computed, not measured: a relaxed structure of CuNi5H4 at the PBE level of DFT.

abc: 11.2996 2.6022 5.2305
angles: 90.00 103.61 90.00
Space group C2/m (No. 12)
Inequivalent atoms, fractional coordinates:
Cu (0.0000, 0.0000, 0.0000)
Ni (0.0000, 0.0000, 0.5000)
Ni (0.1666, 0.5000, 0.8297)
Ni (0.1694, 0.5000, 0.3393)
H (0.0060, 0.5000, 0.2890)
H (0.1773, 0.0000, 0.0972)

Output
Final energy ... -4.64 eV per atom

Record 20
Computed, not measured: a relaxed structure of CuNi5H7 at the PBE level of DFT.

abc: 2.6219 14.8296 4.5053
angles: 90.00 106.11 90.00
Space group P2_1/m (No. 11)
Inequivalent atoms, fractional coordinates:
Cu (0.1721, 0.2500, 0.3826)
Ni (0.0000, 0.0000, 0.0000)
Ni (0.2734, 0.5793, 0.5448)
Ni (0.4510, 0.1530, 0.9140)
H (0.0885, 0.1058, 0.1812)
H (0.1627, 0.6745, 0.3281)
H (0.3602, 0.0373, 0.7246)
H (0.4602, 0.7500, 0.9069)

Output
Final energy ... -4.35 eV per atom